# 1
Density functional theory data (GGA-PBE) for a relaxed NaSiAu3 crystal.

POSCAR file:
```
NaSiAu3
1.0
-0.453 -0.138 -4.821
4.419 -1.952 -0.359
-1.933 -4.432 0.309
Au Na Si
3 1 1
direct
0.500 0.000 0.000
0.000 0.500 0.000
0.000 0.000 0.500
0.500 0.500 0.500
0.000 0.000 0.000
```

Excess energy over the best structure of this formula in the dataset (eV/atom): 0.123
E_form (uncorrected) (kJ/mol of formula units): -71
Electronic total energy (eV per atom): -3.46
Total magnetic moment (μB/f.u.): 0.00

# 2
Density functional theory data (GGA-PBE) for a relaxed NaSiAu2 crystal.

POSCAR file:
```
NaSiAu2
1.0
0.000 3.285 3.285
3.285 0.000 3.285
3.285 3.285 0.000
Na Si Au
1 1 2
direct
0.000 0.000 0.000
0.500 0.500 0.500
0.250 0.250 0.250
0.750 0.750 0.750
```

Excess energy over the best structure of this formula in the dataset (eV/atom): 0.228
E_form (uncorrected) (kJ/mol of formula units): -11
Electronic total energy (eV per atom): -3.35
Total magnetic moment (μB/f.u.): 0.00

# 3
Density functional theory data (GGA-PBE) for a relaxed NaSi2Au3 crystal.

POSCAR file:
```
NaSi2Au3
1.0
-1.260 -1.042 4.097
5.662 -4.961 2.854
7.260 1.212 4.915
Si Au Na
4 6 2
direct
0.773 0.785 0.668
0.492 0.197 0.819
0.227 0.215 0.332
0.508 0.803 0.181
0.063 0.587 0.286
0.686 0.586 0.042
0.314 0.414 0.958
0.937 0.413 0.714
0.356 0.783 0.504
0.644 0.217 0.496
0.877 0.064 0.183
0.123 0.936 0.817
```

E_form (uncorrected) (kJ/mol of formula units): -64
Electronic total energy (eV per atom): -3.78
Total magnetic moment (μB/f.u.): 0.00